Entry 1:
{
  "formula": "LiTlSn2",
  "functional": "PBE-GGA",
  "state": "relaxed",
  "lattice_angstrom": [[3.365, 0.000, 0.000], [0.000, 3.365, 0.000], [0.000, 0.000, 8.818]],
  "species": ["Sn", "Sn", "Li", "Tl"],
  "frac_coords": [[0.000, 0.000, 0.194], [0.000, 0.000, 0.806], [0.500, 0.500, 0.000], [0.500, 0.500, 0.500]],
  "m_tot_mub_per_cell": 0.0,
  "total_energy_ev_per_cell": -12.81,
  "de_polymorph_mev_per_atom": 0,
  "formation_energy_ev_per_atom": -0.131
}

---

Entry 2:
{
  "formula": "CeEu2",
  "functional": "PBE-GGA",
  "state": "relaxed",
  "lattice_angstrom": [[-2.501, -2.478, -1.254], [2.526, -1.328, -2.414], [2.496, -3.449, 7.403]],
  "species": ["Eu", "Eu", "Ce"],
  "frac_coords": [[0.339, 0.339, 0.678], [0.661, 0.661, 0.322], [0.000, 0.000, 0.000]],
  "m_tot_mub_per_cell": 16.4,
  "total_energy_ev_per_cell": -25.94,
  "de_polymorph_mev_per_atom": 0,
  "formation_energy_ev_per_atom": 0.180
}

---

Entry 3:
{
  "formula": "LiSi2AgH",
  "functional": "PBE-GGA",
  "state": "relaxed",
  "lattice_angstrom": [[4.931, 0.000, 0.000], [0.000, 2.987, 0.000], [0.000, 0.000, 4.931]],
  "species": ["Si", "Si", "Li", "H", "Ag"],
  "frac_coords": [[0.500, 0.000, 0.000], [0.000, 0.000, 0.500], [0.000, 0.000, 0.000], [0.000, 0.500, 0.000], [0.500, 0.500, 0.500]],
  "m_tot_mub_per_cell": 0.0,
  "total_energy_ev_per_cell": -15.46
}

---

Entry 4:
{
  "formula": "Ga3Ag2",
  "functional": "PBE-GGA",
  "state": "relaxed",
  "lattice_angstrom": [[-1.644, 4.376, -1.048], [-6.181, 0.465, 0.691], [0.035, 4.045, 5.888]],
  "species": ["Ag", "Ag", "Ag", "Ag", "Ga", "Ga", "Ga", "Ga", "Ga", "Ga"],
  "frac_coords": [[0.806, 0.573, 0.096], [0.652, 0.073, 0.404], [0.129, 0.927, 0.596], [0.475, 0.427, 0.904], [0.560, 0.880, 0.803], [0.243, 0.120, 0.197], [0.113, 0.380, 0.697], [0.665, 0.500, 0.500], [0.915, 0.000, 0.000], [0.190, 0.620, 0.303]],
  "m_tot_mub_per_cell": 0.0,
  "total_energy_ev_per_cell": -29.14,
  "formation_energy_ev_per_atom": 0.043
}

---

Entry 5:
{
  "formula": "LaTbInPb",
  "functional": "PBE-GGA",
  "state": "relaxed",
  "lattice_angstrom": [[5.102, 0.000, 0.000], [0.000, 5.102, -0.001], [-2.551, -2.552, 4.509]],
  "species": ["Tb", "In", "La", "Pb"],
  "frac_coords": [[0.250, 0.750, 0.500], [0.000, 0.000, 0.000], [0.750, 0.250, 0.500], [0.500, 0.500, 0.000]],
  "m_tot_mub_per_cell": 0.0,
  "total_energy_ev_per_cell": -18.01,
  "de_polymorph_mev_per_atom": 0,
  "formation_energy_ev_per_atom": -0.501
}

---

Entry 6:
{
  "formula": "B3PtPb",
  "functional": "PBE-GGA",
  "state": "relaxed",
  "lattice_angstrom": [[4.536, 0.000, 0.000], [0.000, 4.536, 0.000], [0.000, 0.000, 4.536]],
  "species": ["B", "B", "B", "Pt", "Pb"],
  "frac_coords": [[0.000, 0.500, 0.000], [0.000, 0.000, 0.500], [0.500, 0.000, 0.000], [0.500, 0.500, 0.500], [0.000, 0.000, 0.000]],
  "m_tot_mub_per_cell": 0.0,
  "total_energy_ev_per_cell": -16.29,
  "de_polymorph_mev_per_atom": 1587,
  "formation_energy_ev_per_atom": 2.697
}

---

Entry 7:
{
  "formula": "LiPm2ScSe4",
  "functional": "PBE-GGA",
  "state": "relaxed",
  "lattice_angstrom": [[4.053, 0.000, 0.000], [0.000, 7.042, 0.140], [0.000, -2.444, 6.526]],
  "species": ["Pm", "Pm", "Sc", "Se", "Se", "Se", "Se", "Li"],
  "frac_coords": [[0.500, 0.000, 0.500], [0.000, 0.500, 0.500], [0.000, 0.000, 0.000], [0.500, 0.757, 0.775], [0.000, 0.256, 0.773], [0.000, 0.744, 0.227], [0.500, 0.243, 0.225], [0.500, 0.500, 0.000]],
  "formation_energy_uncorrected_ev_per_atom": -1.7073,
  "m_tot_mub_per_cell": 0.0,
  "total_energy_ev_per_cell": -45.34
}

---

no.,ρ (g/cm³)
1,7.46
2,6.50
3,3.93
4,7.60
5,8.77
6,7.74
7,5.82